No. 1
## Rb4CdBr6 (GGA-PBE)

Data for a geometry-optimized Rb4CdBr6 structure.

Results
The calculated volume comes out at 847.06 Å³/cell. The value obtained for the formation energy from raw total energies is -1.52 eV per atom. For the total DFT energy (no corrections), the calculation gives -2.867 eV/atom. As for the density of states at the Fermi level: 0.0000 states/eV/atom.

a = 9.462 Å, b = 9.462 Å, c = 9.462 Å
α = 89.29°, β = 89.29°, γ = 89.29°
Element x y z (fractional)
Br1 0.288 0.942 0.068
Br2 0.212 0.432 0.558
Br3 0.712 0.058 0.932
Br4 0.558 0.212 0.432
Br5 0.788 0.568 0.442
Br6 0.932 0.712 0.058
Br7 0.442 0.788 0.568
Br8 0.432 0.558 0.212
Br9 0.068 0.288 0.942
Br10 0.942 0.068 0.288
Br11 0.568 0.442 0.788
Br12 0.058 0.932 0.712
Cd1 0.500 0.500 0.500
Cd2 0.000 0.000 0.000
Rb1 0.870 0.250 0.630
Rb2 0.630 0.870 0.250
Rb3 0.370 0.130 0.750
Rb4 0.750 0.750 0.750
Rb5 0.250 0.630 0.870
Rb6 0.130 0.750 0.370
Rb7 0.250 0.250 0.250
Rb8 0.750 0.370 0.130

No. 2
## SrY2ScGe (GGA-PBE)

Data for a geometry-optimized SrY2ScGe structure.

Results
The calculated volume comes out at 169.45 Å³/cell. The formation enthalpy at 0 K is -47 kJ/mol of formula units. For the total DFT energy (no corrections), the calculation gives -5.210 eV/atom. As for the density of states at the Fermi level: 1.8790 states/eV/atom.

a = 5.639 Å, b = 5.329 Å, c = 5.639 Å
α = 90.00°, β = 90.00°, γ = 90.00°
Element x y z (fractional)
Ge1 0.000 0.000 0.000
Y1 0.500 0.000 0.000
Y2 0.000 0.000 0.500
Sr1 0.500 0.500 0.500
Sc1 0.000 0.500 0.000

No. 3
## KInMo2 (GGA-PBE)

Data for a geometry-optimized KInMo2 structure.

Results
The calculated volume comes out at 83.78 Å³/cell. The formation enthalpy at 0 K is 386 kJ/mol of formula units. For the total DFT energy (no corrections), the calculation gives -5.374 eV/atom. As for the density of states at the Fermi level: 0.5528 states/eV/atom.

a = 2.805 Å, b = 2.805 Å, c = 10.652 Å
α = 90.00°, β = 90.00°, γ = 90.00°
Element x y z (fractional)
Mo1 0.000 0.000 0.461
Mo2 0.000 0.000 0.039
K1 0.500 0.500 0.750
In1 0.500 0.500 0.250

No. 4
## TaPtSe2S (GGA-PBE)

Data for a geometry-optimized TaPtSe2S structure.

Results
The calculated volume comes out at 120.09 Å³/cell. The value obtained for the formation energy from raw total energies is 1.12 eV per atom. For the total DFT energy (no corrections), the calculation gives -4.676 eV/atom. As for the density of states at the Fermi level: 1.9011 states/eV/atom.

a = 4.834 Å, b = 5.140 Å, c = 4.834 Å
α = 90.00°, β = 90.00°, γ = 90.00°
Element x y z (fractional)
S1 0.500 0.500 0.500
Se1 0.500 0.000 0.000
Se2 0.000 0.000 0.500
Ta1 0.000 0.500 0.000
Pt1 0.000 0.000 0.000

No. 5
## AcUF6 (GGA-PBE)

Data for a geometry-optimized AcUF6 structure.

Results
The calculated volume comes out at 279.90 Å³/cell. The value obtained for the formation energy from raw total energies is -3.72 eV per atom. For the total DFT energy (no corrections), the calculation gives -7.046 eV/atom. As for the density of states at the Fermi level: 0.9148 states/eV/atom.

a = 5.755 Å, b = 5.755 Å, c = 8.450 Å
α = 90.00°, β = 90.00°, γ = 90.00°
Element x y z (fractional)
F1 0.197 0.247 0.686
F2 0.803 0.753 0.686
F3 0.691 0.665 0.000
F4 0.247 0.803 0.186
F5 0.753 0.197 0.814
F6 0.309 0.335 0.000
F7 0.335 0.691 0.500
F8 0.197 0.247 0.314
F9 0.247 0.803 0.814
F10 0.803 0.753 0.314
F11 0.753 0.197 0.186
F12 0.665 0.309 0.500
U1 0.500 0.500 0.750
U2 0.500 0.500 0.250
Ac1 0.000 0.000 0.000
Ac2 0.000 0.000 0.500

No. 6
## LaTc2N3 (GGA-PBE)

Data for a geometry-optimized LaTc2N3 structure.

Results
The calculated volume comes out at 166.08 Å³/cell. The value obtained for the formation energy from raw total energies is -0.43 eV per atom. For the total DFT energy (no corrections), the calculation gives -8.870 eV/atom. As for the density of states at the Fermi level: 0.5563 states/eV/atom.

a = 3.446 Å, b = 3.979 Å, c = 12.112 Å
α = 90.00°, β = 90.00°, γ = 90.00°
Element x y z (fractional)
N1 0.003 0.500 0.337
N2 0.003 0.500 0.663
N3 0.997 0.500 0.000
N4 0.997 0.000 0.163
N5 0.997 0.000 0.837
N6 0.003 0.000 0.500
La1 0.497 0.000 0.000
La2 0.503 0.500 0.500
Tc1 0.002 0.000 0.667
Tc2 0.998 0.500 0.167
Tc3 0.998 0.500 0.833
Tc4 0.002 0.000 0.333

No. 7
## CrFe2Ir (GGA-PBE)

Data for a geometry-optimized CrFe2Ir structure.

Results
The calculated volume comes out at 50.53 Å³/cell. The formation enthalpy at 0 K is 19 kJ/mol of formula units. For the total DFT energy (no corrections), the calculation gives -8.802 eV/atom. As for the density of states at the Fermi level: 1.1298 states/eV/atom.

a = 4.860 Å, b = 4.860 Å, c = 4.860 Å
α = 144.89°, β = 129.29°, γ = 63.17°
Element x y z (fractional)
Fe1 0.489 0.489 0.000
Fe2 0.011 0.011 0.000
Ir1 0.750 0.250 0.500
Cr1 0.250 0.750 0.500

No. 8
## Ce2ReNi (GGA-PBE)

Data for a geometry-optimized Ce2ReNi structure.

Results
The calculated volume comes out at 81.73 Å³/cell. The formation enthalpy at 0 K is -12 kJ/mol of formula units. For the total DFT energy (no corrections), the calculation gives -7.556 eV/atom. As for the density of states at the Fermi level: 1.5342 states/eV/atom.

a = 3.391 Å, b = 3.391 Å, c = 7.109 Å
α = 90.00°, β = 90.00°, γ = 90.00°
Element x y z (fractional)
Ni1 0.500 0.500 0.500
Ce1 0.000 0.000 0.750
Ce2 0.000 0.000 0.250
Re1 0.500 0.500 0.000

No. 9
## Pm2Se2I (GGA-PBE)

Data for a geometry-optimized Pm2Se2I structure.

Results
The calculated volume comes out at 171.08 Å³/cell. The value obtained for the formation energy from raw total energies is -1.65 eV per atom. For the total DFT energy (no corrections), the calculation gives -5.253 eV/atom. As for the density of states at the Fermi level: 0.4407 states/eV/atom.

a = 4.391 Å, b = 5.812 Å, c = 7.629 Å
α = 112.39°, β = 106.72°, γ = 90.00°
Element x y z (fractional)
Pm1 0.687 0.187 0.373
Pm2 0.313 0.813 0.627
Se1 0.673 0.673 0.346
Se2 0.327 0.327 0.654
I1 0.000 0.000 0.000

No. 10
## Th2Mg3Pd4 (GGA-PBE)

Data for a geometry-optimized Th2Mg3Pd4 structure.

Results
The calculated volume comes out at 371.32 Å³/cell. The formation enthalpy at 0 K is -555 kJ/mol of formula units. For the total DFT energy (no corrections), the calculation gives -5.127 eV/atom. As for the density of states at the Fermi level: 0.6223 states/eV/atom.

a = 5.835 Å, b = 7.442 Å, c = 9.035 Å
α = 90.00°, β = 108.84°, γ = 90.00°
Element x y z (fractional)
Mg1 0.980 0.250 0.461
Mg2 0.480 0.250 0.461
Mg3 0.500 0.500 0.000
Mg4 0.520 0.750 0.539
Mg5 0.000 0.000 0.000
Mg6 0.020 0.750 0.539
Pd1 0.665 0.537 0.329
Pd2 0.835 0.037 0.671
Pd3 0.680 0.750 0.860
Pd4 0.335 0.463 0.671
Pd5 0.320 0.250 0.140
Pd6 0.820 0.250 0.140
Pd7 0.180 0.750 0.860
Pd8 0.165 0.963 0.329
Th1 0.895 0.418 0.789
Th2 0.605 0.918 0.211
Th3 0.105 0.582 0.211
Th4 0.395 0.082 0.789

No. 11
## Te2RhW (GGA-PBE)

Data for a geometry-optimized Te2RhW structure.

Results
The calculated volume comes out at 94.88 Å³/cell. Its relative energy among the computed polymorphs is 0 meV/atom. The value obtained for the formation energy from raw total energies is 0.13 eV per atom. For the total DFT energy (no corrections), the calculation gives -6.515 eV/atom. As for the density of states at the Fermi level: 0.7146 states/eV/atom.

a = 4.066 Å, b = 2.993 Å, c = 7.797 Å
α = 89.36°, β = 90.00°, γ = 90.00°
Element x y z (fractional)
Te1 0.500 0.227 0.342
Te2 0.000 0.760 0.905
Rh1 0.500 0.003 0.694
W1 0.000 0.510 0.558

No. 12
## AsSO2 (GGA-PBE)

Data for a geometry-optimized AsSO2 structure.

Results
The calculated volume comes out at 147.96 Å³/cell. Its relative energy among the computed polymorphs is 149 meV/atom. The value obtained for the formation energy from raw total energies is 0.00 eV per atom. For the total DFT energy (no corrections), the calculation gives -4.677 eV/atom. As for the density of states at the Fermi level: 0.3696 states/eV/atom.

a = 5.936 Å, b = 5.936 Å, c = 5.937 Å
α = 60.00°, β = 60.00°, γ = 90.00°
Element x y z (fractional)
O1 0.375 0.125 0.750
O2 0.875 0.125 0.250
O3 0.875 0.625 0.250
O4 0.875 0.125 0.750
S1 0.500 0.500 0.000
S2 0.250 0.750 0.500
As1 0.000 0.000 0.000
As2 0.750 0.250 0.500

No. 13
## LiSb5 (GGA-PBE)

Data for a geometry-optimized LiSb5 structure.

Results
The calculated volume comes out at 153.90 Å³/cell. Its relative energy among the computed polymorphs is 61 meV/atom. The value obtained for the formation energy from raw total energies is 0.08 eV per atom. For the total DFT energy (no corrections), the calculation gives -3.679 eV/atom. As for the density of states at the Fermi level: 0.5133 states/eV/atom.

a = 3.185 Å, b = 3.185 Å, c = 15.174 Å
α = 90.00°, β = 90.00°, γ = 90.00°
Element x y z (fractional)
Sb1 0.000 0.000 0.500
Sb2 0.500 0.500 0.677
Sb3 0.500 0.500 0.323
Sb4 0.000 0.000 0.134
Sb5 0.000 0.000 0.866
Li1 0.500 0.500 0.000

No. 14
## CaMn2Os (GGA-PBE)

Data for a geometry-optimized CaMn2Os structure.

Results
The calculated volume comes out at 67.24 Å³/cell. Its relative energy among the computed polymorphs is 409 meV/atom. The formation enthalpy at 0 K is 281 kJ/mol of formula units. For the total DFT energy (no corrections), the calculation gives -7.164 eV/atom. As for the density of states at the Fermi level: 1.8583 states/eV/atom.

a = 4.564 Å, b = 4.564 Å, c = 4.564 Å
α = 60.00°, β = 60.00°, γ = 60.00°
Element x y z (fractional)
Ca1 0.500 0.500 0.500
Mn1 0.250 0.250 0.250
Mn2 0.000 0.000 0.000
Os1 0.750 0.750 0.750

No. 15
## Zr3MoPb (GGA-PBE)

Data for a geometry-optimized Zr3MoPb structure.

Results
The calculated volume comes out at 130.48 Å³/cell. Its relative energy among the computed polymorphs is 0 meV/atom. The formation enthalpy at 0 K is 268 kJ/mol of formula units. For the total DFT energy (no corrections), the calculation gives -7.482 eV/atom. As for the density of states at the Fermi level: 1.6111 states/eV/atom.

a = 5.072 Å, b = 5.072 Å, c = 5.072 Å
α = 90.00°, β = 90.00°, γ = 90.00°
Element x y z (fractional)
Zr1 0.000 0.000 0.500
Zr2 0.500 0.000 0.000
Zr3 0.000 0.500 0.000
Pb1 0.500 0.500 0.500
Mo1 0.000 0.000 0.000

No. 16
## HfSc3I (GGA-PBE)

Data for a geometry-optimized HfSc3I structure.

Results
The calculated volume comes out at 141.51 Å³/cell. Its relative energy among the computed polymorphs is 0 meV/atom. The value obtained for the formation energy from raw total energies is 0.53 eV per atom. For the total DFT energy (no corrections), the calculation gives -5.565 eV/atom. As for the density of states at the Fermi level: 0.6865 states/eV/atom.

a = 5.211 Å, b = 5.211 Å, c = 5.211 Å
α = 90.00°, β = 90.00°, γ = 90.00°
Element x y z (fractional)
I1 0.000 0.000 0.000
Sc1 0.000 0.500 0.000
Sc2 0.000 0.000 0.500
Sc3 0.500 0.000 0.000
Hf1 0.500 0.500 0.500

No. 17
## RbBr2N (GGA-PBE)

Data for a geometry-optimized RbBr2N structure.

Results
The calculated volume comes out at 499.97 Å³/cell. Its relative energy among the computed polymorphs is 0 meV/atom. The value obtained for the formation energy from raw total energies is 0.00 eV per atom. For the total DFT energy (no corrections), the calculation gives -3.159 eV/atom.

a = 9.625 Å, b = 4.242 Å, c = 12.966 Å
α = 70.79°, β = 90.00°, γ = 90.00°
Element x y z (fractional)
Br1 0.098 0.923 0.332
Br2 0.402 0.423 0.832
Br3 0.451 0.340 0.410
Br4 0.951 0.160 0.090
Br5 0.598 0.577 0.168
Br6 0.049 0.840 0.910
Br7 0.549 0.660 0.590
Br8 0.902 0.077 0.668
Rb1 0.334 0.133 0.113
Rb2 0.834 0.367 0.387
Rb3 0.666 0.867 0.887
Rb4 0.166 0.633 0.613
N1 0.612 0.793 0.458
N2 0.888 0.293 0.958
N3 0.388 0.207 0.542
N4 0.112 0.707 0.042

No. 18
## CaTe2PdRu (GGA-PBE)

Data for a geometry-optimized CaTe2PdRu structure.

Results
The calculated volume comes out at 140.16 Å³/cell. The value obtained for the formation energy from raw total energies is 0.22 eV per atom. For the total DFT energy (no corrections), the calculation gives -4.336 eV/atom. As for the density of states at the Fermi level: 0.7123 states/eV/atom.

a = 5.296 Å, b = 4.997 Å, c = 5.296 Å
α = 90.00°, β = 90.00°, γ = 90.00°
Element x y z (fractional)
Ca1 0.500 0.500 0.500
Te1 0.500 0.000 0.000
Te2 0.000 0.000 0.500
Ru1 0.000 0.500 0.000
Pd1 0.000 0.000 0.000

No. 19
## BaBeV2 (GGA-PBE)

Data for a geometry-optimized BaBeV2 structure.

Results
The calculated volume comes out at 183.54 Å³/cell. The formation enthalpy at 0 K is 421 kJ/mol of formula units. For the total DFT energy (no corrections), the calculation gives -4.880 eV/atom. As for the density of states at the Fermi level: 1.5339 states/eV/atom.

a = 4.427 Å, b = 4.427 Å, c = 9.875 Å
α = 77.05°, β = 77.05°, γ = 90.00°
Element x y z (fractional)
Ba1 0.750 0.250 0.500
Ba2 0.000 0.000 0.000
V1 0.375 0.625 0.250
V2 0.375 0.625 0.750
V3 0.875 0.625 0.750
V4 0.375 0.125 0.250
Be1 0.500 0.500 0.000
Be2 0.250 0.750 0.500

No. 20
## LiCeGa2 (GGA-PBE)

Data for a geometry-optimized LiCeGa2 structure.

Results
The calculated volume comes out at 82.05 Å³/cell. Its relative energy among the computed polymorphs is 0 meV/atom. The formation enthalpy at 0 K is -162 kJ/mol of formula units. For the total DFT energy (no corrections), the calculation gives -3.894 eV/atom. As for the density of states at the Fermi level: 1.1395 states/eV/atom.

a = 4.877 Å, b = 4.877 Å, c = 4.877 Å
α = 60.00°, β = 60.00°, γ = 60.00°
Element x y z (fractional)
Ga1 0.750 0.750 0.750
Ga2 0.250 0.250 0.250
Ce1 0.000 0.000 0.000
Li1 0.500 0.500 0.500